Entry from OQMD via LeMat-Bulk: SmNi3As2 after structural relaxation (PBE-GGA).

Computed properties:
As for the mass density: 8.45 g/cm³. The value obtained for the total DFT energy (no corrections) is -5.663 eV per atom. The total magnetic moment comes out at 0.0 Bohr magnetons per cell. As for the symmetry: No. 191.

Cell: 5.407 5.407 3.699 Å, 90.00 90.00 120.00°
Atoms (fractional coordinates):
Sm (0.000, 0.000, 0.000)
Ni (0.000, 0.500, 0.500)
Ni (0.500, 0.000, 0.500)
Ni (0.500, 0.500, 0.500)
As (0.333, 0.667, 0.000)
As (0.667, 0.333, 0.000)

---

Entry from OQMD via LeMat-Bulk: SmNi3As2 after structural relaxation (PBE-GGA).

Computed properties:
As for the mass density: 8.51 g/cm³. The value obtained for the total DFT energy (no corrections) is -5.801 eV per atom. The total magnetic moment comes out at 0.0 Bohr magnetons per cell. As for the symmetry: No. 164.

Cell: 4.033 4.033 6.596 Å, 90.00 90.00 120.00°
Atoms (fractional coordinates):
Sm (0.000, 0.000, 0.000)
Ni (0.000, 0.000, 0.500)
Ni (0.333, 0.667, 0.340)
Ni (0.667, 0.333, 0.660)
As (0.333, 0.667, 0.713)
As (0.667, 0.333, 0.287)

---

Entry from OQMD via LeMat-Bulk: SmNi2SnAs after structural relaxation (PBE-GGA).

Computed properties:
As for the mass density: 8.32 g/cm³. The value obtained for the total DFT energy (no corrections) is -5.554 eV per atom. The total magnetic moment comes out at 0.0 Bohr magnetons per cell. As for the symmetry: No. 129.

Cell: 4.358 4.358 9.693 Å, 90.00 90.00 90.00°
Atoms (fractional coordinates):
Sm (0.250, 0.250, 0.237)
Sm (0.750, 0.750, 0.763)
Ni (0.250, 0.250, 0.900)
Ni (0.250, 0.750, 0.500)
Ni (0.750, 0.250, 0.500)
Ni (0.750, 0.750, 0.100)
Sn (0.250, 0.250, 0.637)
Sn (0.750, 0.750, 0.363)
As (0.250, 0.750, 0.000)
As (0.750, 0.250, 0.000)

---

Entry from OQMD via LeMat-Bulk: NiSn2As after structural relaxation (PBE-GGA).

Computed properties:
As for the mass density: 7.49 g/cm³. The value obtained for the total DFT energy (no corrections) is -4.205 eV per atom. The total magnetic moment comes out at 0.0 Bohr magnetons per cell. As for the symmetry: No. 216.

Cell: 6.905 6.905 6.905 Å, 90.00 90.00 90.00°
Atoms (fractional coordinates):
Ni (0.000, 0.000, 0.000)
Ni (0.000, 0.500, 0.500)
Ni (0.500, 0.000, 0.500)
Ni (0.500, 0.500, 0.000)
Sn (0.000, 0.000, 0.500)
Sn (0.000, 0.500, 0.000)
Sn (0.250, 0.250, 0.250)
Sn (0.250, 0.750, 0.750)
Sn (0.500, 0.000, 0.000)
Sn (0.500, 0.500, 0.500)
Sn (0.750, 0.250, 0.750)
Sn (0.750, 0.750, 0.250)
As (0.250, 0.250, 0.750)
As (0.250, 0.750, 0.250)
As (0.750, 0.250, 0.250)
As (0.750, 0.750, 0.750)

---

Entry from OQMD via LeMat-Bulk: NiSnAs2 after structural relaxation (PBE-GGA).

Computed properties:
As for the mass density: 7.37 g/cm³. The value obtained for the total DFT energy (no corrections) is -4.359 eV per atom. The total magnetic moment comes out at 0.0 Bohr magnetons per cell. As for the symmetry: No. 216.

Cell: 6.655 6.655 6.655 Å, 90.00 90.00 90.00°
Atoms (fractional coordinates):
Ni (0.000, 0.000, 0.000)
Ni (0.000, 0.500, 0.500)
Ni (0.500, 0.000, 0.500)
Ni (0.500, 0.500, 0.000)
Sn (0.250, 0.250, 0.250)
Sn (0.250, 0.750, 0.750)
Sn (0.750, 0.250, 0.750)
Sn (0.750, 0.750, 0.250)
As (0.000, 0.000, 0.500)
As (0.000, 0.500, 0.000)
As (0.250, 0.250, 0.750)
As (0.250, 0.750, 0.250)
As (0.500, 0.000, 0.000)
As (0.500, 0.500, 0.500)
As (0.750, 0.250, 0.250)
As (0.750, 0.750, 0.750)

---

Entry from OQMD via LeMat-Bulk: SrNiSnAs after structural relaxation (PBE-GGA).

Computed properties:
As for the mass density: 6.24 g/cm³. The value obtained for the total DFT energy (no corrections) is -4.578 eV per atom. The total magnetic moment comes out at 0.0 Bohr magnetons per cell. As for the symmetry: No. 63.

Cell: 4.494 17.777 4.529 Å, 90.00 90.00 90.00°
Atoms (fractional coordinates):
Sr (0.000, 0.119, 0.250)
Sr (0.000, 0.881, 0.750)
Sr (0.500, 0.381, 0.750)
Sr (0.500, 0.619, 0.250)
Ni (0.000, 0.306, 0.250)
Ni (0.000, 0.694, 0.750)
Ni (0.500, 0.194, 0.750)
Ni (0.500, 0.806, 0.250)
Sn (0.000, 0.451, 0.250)
Sn (0.000, 0.549, 0.750)
Sn (0.500, 0.049, 0.750)
Sn (0.500, 0.951, 0.250)
As (0.000, 0.252, 0.750)
As (0.000, 0.748, 0.250)
As (0.500, 0.248, 0.250)
As (0.500, 0.752, 0.750)

---

Entry from OQMD via LeMat-Bulk: SrNiSnAs after structural relaxation (PBE-GGA).

Computed properties:
As for the mass density: 6.30 g/cm³. The value obtained for the total DFT energy (no corrections) is -4.605 eV per atom. The total magnetic moment comes out at 0.0 Bohr magnetons per cell. As for the symmetry: No. 63.

Cell: 4.483 17.632 4.537 Å, 90.00 90.00 90.00°
Atoms (fractional coordinates):
Sr (0.000, 0.097, 0.250)
Sr (0.000, 0.903, 0.750)
Sr (0.500, 0.403, 0.750)
Sr (0.500, 0.597, 0.250)
Ni (0.000, 0.327, 0.250)
Ni (0.000, 0.673, 0.750)
Ni (0.500, 0.173, 0.750)
Ni (0.500, 0.827, 0.250)
Sn (0.000, 0.251, 0.750)
Sn (0.000, 0.749, 0.250)
Sn (0.500, 0.249, 0.250)
Sn (0.500, 0.751, 0.750)
As (0.000, 0.459, 0.250)
As (0.000, 0.541, 0.750)
As (0.500, 0.041, 0.750)
As (0.500, 0.959, 0.250)

---

Entry from OQMD via LeMat-Bulk: Sr3Ni4As4 after structural relaxation (PBE-GGA).

Computed properties:
As for the mass density: 6.07 g/cm³. The value obtained for the total DFT energy (no corrections) is -4.861 eV per atom. The total magnetic moment comes out at 0.0 Bohr magnetons per cell. As for the symmetry: No. 47.

Cell: 4.143 4.257 12.368 Å, 90.00 90.00 90.00°
Atoms (fractional coordinates):
Sr (0.000, 0.000, 0.000)
Sr (0.500, 0.000, 0.300)
Sr (0.500, 0.000, 0.700)
Ni (0.000, 0.000, 0.500)
Ni (0.000, 0.500, 0.194)
Ni (0.000, 0.500, 0.806)
Ni (0.500, 0.500, 0.500)
As (0.000, 0.500, 0.386)
As (0.000, 0.500, 0.614)
As (0.500, 0.500, 0.110)
As (0.500, 0.500, 0.890)